(1)
The following is a DFT calculation (PBE-GGA) of a relaxed ScAl2Si crystal.

Summary:
VASP energy	-0.3833	Ry/atom

Lattice parameters (Å, degrees): 5.2905 5.2905 5.2905 137.28 137.27 62.01
Closest atoms and distances in Å follow each position.
Atoms (fractional coordinates):
Si: 0.2500 0.7500 0.5000  4 Sc 2.73, 8 Al 2.97-2.98
Sc: 0.7500 0.2500 0.5000  4 Si 2.73, 8 Al 2.98
Al: 0.4999 0.4999 0.0000  4 Al 2.73, 4 Si 2.97-2.98, 4 Sc 2.98
Al: 0.0001 0.0001 0.0000  4 Al 2.73, 4 Si 2.97-2.98, 4 Sc 2.98



(2)
The following is a DFT calculation (PBE-GGA) of a relaxed ZrAs2Br crystal.

Summary:
energy above the most stable polymorph in this dataset	198.2	meV/atom

Lattice parameters (Å, degrees): 5.2492 5.2492 5.3646 80.73 80.73 38.49
Closest atoms and distances in Å follow each position.
Atoms (fractional coordinates):
As: 0.5198 0.5198 0.4126  2 As 2.53
Zr: 0.2500 0.2500 0.2500  6 As 2.88-2.95, 4 Br 3.19
Br: 0.7500 0.7500 0.7500  6 As 3.14-3.43, 4 Zr 3.19, 2 Br 3.46
As: 0.9802 0.9802 0.0874  2 As 2.53



Number 2 is which compound? ZrAs2Br